1.
{"formula": "AlAgAu3", "functional": "GGA-PBE", "state": "relaxed", "cell": [[2.7191, -6.6295, 0.0000], [2.7191, 6.6295, 0.0000], [0.0000, 0.0000, 5.2498]], "species": ["Al", "Al", "Ag", "Ag", "Au", "Au", "Au", "Au", "Au", "Au"], "fractional_positions": [[0.1687, 0.8313, 0.7500], [0.8313, 0.1687, 0.2500], [0.4273, 0.5727, 0.2500], [0.5727, 0.4273, 0.7500], [0.0000, 0.0000, 0.0000], [0.0000, 0.0000, 0.5000], [0.0806, 0.4221, 0.7500], [0.4221, 0.0806, 0.2500], [0.5779, 0.9194, 0.7500], [0.9194, 0.5779, 0.2500]], "total_magnetization_mub_per_cell": 0.00, "dos_at_fermi_per_ev_cell": 2.17, "relative_energy_mev_per_atom": 49, "ef_kj_per_mol_atoms": -11, "space_group": "Cmcm"}



2.
{"formula": "SrTbMgCd", "functional": "GGA-PBE", "state": "relaxed", "cell": [[3.9474, 0.0000, 0.0000], [0.0000, 3.9474, 0.0000], [0.0000, 0.0000, 7.8665]], "species": ["Sr", "Tb", "Mg", "Cd"], "fractional_positions": [[0.0000, 0.0000, 0.0000], [0.0000, 0.0000, 0.4847], [0.5000, 0.5000, 0.7112], [0.5000, 0.5000, 0.2775]], "total_magnetization_mub_per_cell": 0.16, "dos_at_fermi_per_ev_cell": 4.11, "relative_energy_mev_per_atom": 0, "ef_kj_per_mol_atoms": -18, "space_group": "P4mm"}



3.
{"formula": "Ac2CdSnPt6", "functional": "GGA-PBE", "state": "relaxed", "cell": [[0.0000, 5.0196, 5.0196], [5.0196, 0.0000, 5.0196], [5.0196, 5.0196, 0.0000]], "species": ["Ac", "Ac", "Cd", "Sn", "Pt", "Pt", "Pt", "Pt", "Pt", "Pt"], "fractional_positions": [[0.2500, 0.2500, 0.2500], [0.7500, 0.7500, 0.7500], [0.0000, 0.0000, 0.0000], [0.5000, 0.5000, 0.5000], [0.2516, 0.2516, 0.7484], [0.2516, 0.7484, 0.2516], [0.2516, 0.7484, 0.7484], [0.7484, 0.2516, 0.2516], [0.7484, 0.2516, 0.7484], [0.7484, 0.7484, 0.2516]], "total_magnetization_mub_per_cell": 0.00, "dos_at_fermi_per_ev_cell": 3.64, "ef_kj_per_mol_atoms": -20, "space_group": "Fm-3m"}



4.
{"formula": "Li2GaNi", "functional": "GGA-PBE", "state": "relaxed", "cell": [[3.5195, 0.0000, 0.0000], [0.0000, 3.5195, 0.0000], [0.0000, 0.0000, 4.2489]], "species": ["Li", "Li", "Ga", "Ni"], "fractional_positions": [[0.0000, 0.5000, 0.0000], [0.5000, 0.0000, 0.0000], [0.0000, 0.0000, 0.5000], [0.5000, 0.5000, 0.5000]], "total_magnetization_mub_per_cell": 0.00, "dos_at_fermi_per_ev_cell": 2.22, "ef_kj_per_mol_atoms": -21, "space_group": "P4/mmm"}



5.
{"formula": "RbPdI", "functional": "GGA-PBE", "state": "relaxed", "cell": [[4.7333, 0.0000, 0.0000], [-2.3667, 4.0992, 0.0000], [0.0000, 0.0000, 5.1464]], "species": ["Rb", "Pd", "I"], "fractional_positions": [[0.0000, 0.0000, 0.0000], [0.6667, 0.3333, 0.5000], [0.3333, 0.6667, 0.5000]], "total_magnetization_mub_per_cell": 0.00, "e_form_raw_ev_per_atom": -0.595, "dos_at_fermi_per_ev_cell": 0.02, "relative_energy_mev_per_atom": 77, "space_group": "P-6m2"}



6.
{"formula": "MgRe4Pb", "functional": "GGA-PBE", "state": "relaxed", "cell": [[0.0000, 3.7643, 3.7643], [3.7643, 0.0000, 3.7643], [3.7643, 3.7643, 0.0000]], "species": ["Mg", "Re", "Re", "Re", "Re", "Pb"], "fractional_positions": [[0.0000, 0.0000, 0.0000], [0.3747, 0.3747, 0.3747], [0.3747, 0.3747, 0.8758], [0.3747, 0.8758, 0.3747], [0.8758, 0.3747, 0.3747], [0.7500, 0.7500, 0.7500]], "total_magnetization_mub_per_cell": 0.00, "dos_at_fermi_per_ev_cell": 5.67, "ef_kj_per_mol_atoms": 57, "space_group": "F-43m"}



7.
{"formula": "LiAl2CdN", "functional": "GGA-PBE", "state": "relaxed", "cell": [[4.0077, 0.0000, 0.0000], [0.0000, 4.0077, 0.0000], [0.0000, 0.0000, 4.3562]], "species": ["Li", "Al", "Al", "Cd", "N"], "fractional_positions": [[0.0000, 0.0000, 0.0000], [0.0000, 0.5000, 0.5000], [0.5000, 0.0000, 0.5000], [0.5000, 0.5000, 0.0000], [0.0000, 0.0000, 0.5000]], "total_magnetization_mub_per_cell": 0.00, "e_form_raw_ev_per_atom": -0.176, "dos_at_fermi_per_ev_cell": 1.92, "space_group": "P4/mmm"}



8.
{"formula": "Li2ZnNi", "functional": "GGA-PBE", "state": "relaxed", "cell": [[-1.4167, 2.1661, 4.2648], [1.4167, -2.1661, 4.2648], [1.4167, 2.1661, -4.2648]], "species": ["Li", "Li", "Zn", "Ni"], "fractional_positions": [[0.0000, 0.0000, 0.0000], [0.7362, 0.2362, 0.5000], [0.4785, 0.4785, 0.0000], [0.2426, 0.7426, 0.5000]], "total_magnetization_mub_per_cell": 0.00, "dos_at_fermi_per_ev_cell": 1.57, "ef_kj_per_mol_atoms": -7, "space_group": "Imm2"}



9.
{"formula": "BeSi3Ag", "functional": "GGA-PBE", "state": "relaxed", "cell": [[4.8215, 0.0000, 0.0000], [0.0000, 4.8215, 0.0000], [0.0000, 0.0000, 4.8215]], "species": ["Be", "Si", "Si", "Si", "Ag"], "fractional_positions": [[0.0000, 0.0000, 0.0000], [0.0000, 0.5000, 0.5000], [0.5000, 0.0000, 0.5000], [0.5000, 0.5000, 0.0000], [0.5000, 0.5000, 0.5000]], "total_magnetization_mub_per_cell": 0.00, "e_form_raw_ev_per_atom": 1.503, "dos_at_fermi_per_ev_cell": 3.71, "relative_energy_mev_per_atom": 786, "space_group": "Pm-3m"}



10.
{"formula": "Na5P3Au3", "functional": "GGA-PBE", "state": "relaxed", "cell": [[8.9116, 0.0000, 0.0000], [-4.4558, 7.7177, 0.0000], [0.0000, 0.0000, 4.4730]], "species": ["Na", "Na", "Na", "Na", "Na", "P", "P", "P", "Au", "Au", "Au"], "fractional_positions": [[0.0000, 0.2566, 0.0000], [0.2566, 0.0000, 0.0000], [0.3333, 0.6667, 0.0000], [0.6667, 0.3333, 0.0000], [0.7434, 0.7434, 0.0000], [0.0000, 0.6235, 0.0000], [0.3765, 0.3765, 0.0000], [0.6235, 0.0000, 0.0000], [0.0000, 0.6918, 0.5000], [0.3082, 0.3082, 0.5000], [0.6918, 0.0000, 0.5000]], "total_magnetization_mub_per_cell": 0.00, "dos_at_fermi_per_ev_cell": 3.60, "ef_kj_per_mol_atoms": -31, "space_group": "P-62m"}



11.
{"formula": "AcDyIrRu", "functional": "GGA-PBE", "state": "relaxed", "cell": [[0.0000, 3.5585, 3.5585], [3.5585, 0.0000, 3.5585], [3.5585, 3.5585, 0.0000]], "species": ["Ac", "Dy", "Ir", "Ru"], "fractional_positions": [[0.0000, 0.0000, 0.0000], [0.5000, 0.5000, 0.5000], [0.7500, 0.7500, 0.7500], [0.2500, 0.2500, 0.2500]], "total_magnetization_mub_per_cell": 0.00, "dos_at_fermi_per_ev_cell": 2.77, "ef_kj_per_mol_atoms": -29, "space_group": "F-43m"}



12.
{"formula": "Pr2GaPt7", "functional": "GGA-PBE", "state": "relaxed", "cell": [[4.0188, 0.0000, 0.0000], [0.0000, 4.0188, 0.0000], [0.0000, 0.0000, 12.3866]], "species": ["Pr", "Pr", "Ga", "Pt", "Pt", "Pt", "Pt", "Pt", "Pt", "Pt"], "fractional_positions": [[0.0000, 0.5000, 0.2336], [0.5000, 0.0000, 0.7664], [0.0000, 0.0000, 0.5000], [0.0000, 0.0000, 0.0000], [0.0000, 0.5000, 0.6409], [0.0000, 0.5000, 0.8486], [0.5000, 0.0000, 0.1514], [0.5000, 0.0000, 0.3591], [0.5000, 0.5000, 0.0000], [0.5000, 0.5000, 0.5000]], "total_magnetization_mub_per_cell": 0.00, "dos_at_fermi_per_ev_cell": 8.53, "ef_kj_per_mol_atoms": -67, "space_group": "P-4m2"}



13.
{"formula": "Mg2Be2GePd5", "functional": "GGA-PBE", "state": "relaxed", "cell": [[9.4358, 0.0000, 0.0000], [0.0000, 9.4358, 0.0000], [0.0000, 0.0000, 3.2374]], "species": ["Mg", "Mg", "Mg", "Mg", "Be", "Be", "Be", "Be", "Ge", "Ge", "Pd", "Pd", "Pd", "Pd", "Pd", "Pd", "Pd", "Pd", "Pd", "Pd"], "fractional_positions": [[0.1732, 0.3268, 0.0000], [0.3268, 0.8268, 0.0000], [0.6732, 0.1732, 0.0000], [0.8268, 0.6732, 0.0000], [0.1246, 0.6246, 0.0000], [0.3754, 0.1246, 0.0000], [0.6246, 0.8754, 0.0000], [0.8754, 0.3754, 0.0000], [0.0000, 0.0000, 0.0000], [0.5000, 0.5000, 0.0000], [0.0000, 0.5000, 0.5000], [0.0743, 0.7932, 0.5000], [0.2068, 0.0743, 0.5000], [0.2932, 0.5743, 0.5000], [0.4257, 0.2932, 0.5000], [0.5000, 0.0000, 0.5000], [0.5743, 0.7068, 0.5000], [0.7068, 0.4257, 0.5000], [0.7932, 0.9257, 0.5000], [0.9257, 0.2068, 0.5000]], "total_magnetization_mub_per_cell": 0.00, "dos_at_fermi_per_ev_cell": 5.40, "ef_kj_per_mol_atoms": -59, "space_group": "P4/mbm"}



14.
{"formula": "TeRhAu", "functional": "GGA-PBE", "state": "relaxed", "cell": [[0.0000, 3.1683, 3.1683], [3.1683, 0.0000, 3.1683], [3.1683, 3.1683, 0.0000]], "species": ["Te", "Rh", "Au"], "fractional_positions": [[0.0000, 0.0000, 0.0000], [0.7500, 0.7500, 0.7500], [0.5000, 0.5000, 0.5000]], "total_magnetization_mub_per_cell": 0.00, "e_form_raw_ev_per_atom": -0.009, "dos_at_fermi_per_ev_cell": 2.06, "relative_energy_mev_per_atom": 64, "space_group": "F-43m"}



15.
{"formula": "Sr2AgPb2", "functional": "GGA-PBE", "state": "relaxed", "cell": [[-3.3099, 3.3099, 4.3898], [3.3099, -3.3099, 4.3898], [3.3099, 3.3099, -4.3898]], "species": ["Sr", "Sr", "Ag", "Pb", "Pb"], "fractional_positions": [[0.2500, 0.7500, 0.5000], [0.7500, 0.2500, 0.5000], [0.0000, 0.0000, 0.0000], [0.3290, 0.3290, 0.0000], [0.6710, 0.6710, 0.0000]], "total_magnetization_mub_per_cell": 0.00, "dos_at_fermi_per_ev_cell": 4.86, "relative_energy_mev_per_atom": 366, "ef_kj_per_mol_atoms": -9, "space_group": "I4/mmm"}



16.
{"formula": "Sc4BeRh3", "functional": "GGA-PBE", "state": "relaxed", "cell": [[3.2069, 0.0000, 0.0000], [0.0000, 3.2069, 0.0000], [0.0000, 0.0000, 12.9274]], "species": ["Sc", "Sc", "Sc", "Sc", "Be", "Rh", "Rh", "Rh"], "fractional_positions": [[0.0000, 0.0000, 0.1201], [0.0000, 0.0000, 0.3732], [0.0000, 0.0000, 0.6268], [0.0000, 0.0000, 0.8799], [0.5000, 0.5000, 0.0000], [0.5000, 0.5000, 0.2466], [0.5000, 0.5000, 0.5000], [0.5000, 0.5000, 0.7534]], "total_magnetization_mub_per_cell": 0.00, "dos_at_fermi_per_ev_cell": 4.23, "ef_kj_per_mol_atoms": -75, "space_group": "P4/mmm"}



17.
{"formula": "Th5FeSe4", "functional": "GGA-PBE", "state": "relaxed", "cell": [[-4.6816, 4.6816, 2.9755], [4.6816, -4.6816, 2.9755], [4.6816, 4.6816, -2.9755]], "species": ["Th", "Th", "Th", "Th", "Th", "Fe", "Se", "Se", "Se", "Se"], "fractional_positions": [[0.0000, 0.0000, 0.0000], [0.2269, 0.4027, 0.6296], [0.4027, 0.7731, 0.1758], [0.5973, 0.2269, 0.8242], [0.7731, 0.5973, 0.3704], [0.5000, 0.5000, 0.0000], [0.0885, 0.6916, 0.7801], [0.3084, 0.0885, 0.3969], [0.6916, 0.9115, 0.6031], [0.9115, 0.3084, 0.2199]], "total_magnetization_mub_per_cell": 0.00, "e_form_raw_ev_per_atom": -1.272, "dos_at_fermi_per_ev_cell": 7.69, "space_group": "I4/m"}



18.
{"formula": "RbCaS2Cl", "functional": "GGA-PBE", "state": "relaxed", "cell": [[5.4748, 0.0000, 0.0000], [0.0000, 5.4748, 0.0000], [0.0000, 0.0000, 5.4930]], "species": ["Rb", "Ca", "S", "S", "Cl"], "fractional_positions": [[0.0000, 0.0000, 0.0000], [0.5000, 0.5000, 0.5000], [0.0000, 0.5000, 0.5000], [0.5000, 0.0000, 0.5000], [0.5000, 0.5000, 0.0000]], "total_magnetization_mub_per_cell": 2.02, "e_form_raw_ev_per_atom": -1.060, "dos_at_fermi_per_ev_cell": 5.60, "relative_energy_mev_per_atom": 0, "space_group": "P4/mmm"}



19.
{"formula": "InGaHgBi", "functional": "GGA-PBE", "state": "relaxed", "cell": [[0.0000, 3.7688, 3.7688], [3.7688, 0.0000, 3.7688], [3.7688, 3.7688, 0.0000]], "species": ["In", "Ga", "Hg", "Bi"], "fractional_positions": [[0.0000, 0.0000, 0.0000], [0.5000, 0.5000, 0.5000], [0.2500, 0.2500, 0.2500], [0.7500, 0.7500, 0.7500]], "total_magnetization_mub_per_cell": 0.00, "dos_at_fermi_per_ev_cell": 1.84, "relative_energy_mev_per_atom": 20, "ef_kj_per_mol_atoms": 3, "space_group": "F-43m"}



20.
{"formula": "CuBiSb2", "functional": "GGA-PBE", "state": "relaxed", "cell": [[2.0800, 1.2009, 6.8604], [-2.0800, 1.2009, 6.8604], [0.0000, -2.4018, 6.8604]], "species": ["Cu", "Bi", "Sb", "Sb"], "fractional_positions": [[0.0000, 0.0000, 0.0000], [0.5000, 0.5000, 0.5000], [0.2693, 0.2693, 0.2693], [0.7307, 0.7307, 0.7307]], "total_magnetization_mub_per_cell": 0.00, "e_form_raw_ev_per_atom": 0.112, "dos_at_fermi_per_ev_cell": 2.31, "relative_energy_mev_per_atom": 0, "space_group": "R-3m"}



In eV for the cell shown, the DFT total energy values for the records above are, in order, -34.0; -9.6; -51.4; -13.5; -9.5; -51.5; -19.5; -11.2; -15.3; -36.2; -28.0; -61.8; -94.7; -13.8; -14.1; -57.3; -72.2; -18.4; -9.8; -15.8.